Record 1
Density functional theory data (GGA-PBE) for a geometry-optimized BaTeIO6 structure.

Unit cell a=5.890 b=5.891 c=5.614 alpha=90.00 beta=90.00 gamma=59.99
Fractional coordinates of all 9 atoms:
O  0.048  0.363  0.292
Ba  0.000  0.000  0.002
O  0.363  0.589  0.292
O  0.947  0.673  0.703
O  0.589  0.048  0.292
O  0.673  0.380  0.703
O  0.380  0.947  0.703
Te  0.667  0.667  0.541
I  0.333  0.333  0.471

Summary:
total DFT energy (no corrections): -46.826 eV per cell
space-group type: No. 143
formation energy without anion corrections: -1009 kJ/mol of formula units

---

Record 2
Density functional theory data (GGA-PBE) for a geometry-optimized BaTeIO2 structure.

Unit cell a=4.550 b=4.550 c=8.208 alpha=90.00 beta=90.00 gamma=90.00
Fractional coordinates of all 5 atoms:
Ba  0.000  0.000  0.000
Te  0.500  0.500  0.500
O  0.500  0.000  0.000
O  0.000  0.500  0.000
I  0.000  0.000  0.500

Summary:
E above lowest polymorph: 0.552 eV/atom
total DFT energy (no corrections): -17.913 eV per cell
space-group type: No. 123
formation energy without anion corrections: -133 kJ/mol of formula units

---

Record 3
Density functional theory data (GGA-PBE) for a geometry-optimized BaTeIO2 structure.

Unit cell a=4.574 b=4.574 c=6.003 alpha=90.00 beta=90.00 gamma=90.00
Fractional coordinates of all 5 atoms:
O  0.500  0.000  0.000
O  0.000  0.500  0.000
Te  0.000  0.000  0.000
Ba  0.500  0.500  0.500
I  0.000  0.000  0.500

Summary:
E above lowest polymorph: 0.000 eV/atom
total DFT energy (no corrections): -20.673 eV per cell
space-group type: No. 123
formation energy without anion corrections: -400 kJ/mol of formula units

---

Record 4
Density functional theory data (GGA-PBE) for a geometry-optimized BaTeI2O structure.

Unit cell a=6.717 b=6.717 c=7.249 alpha=90.00 beta=90.00 gamma=90.00
Fractional coordinates of all 5 atoms:
I  0.500  0.000  0.000
Te  0.000  0.000  0.500
Ba  0.000  0.000  0.000
O  0.500  0.500  0.500
I  0.000  0.500  0.000

Summary:
E above lowest polymorph: 1.013 eV/atom
total DFT energy (no corrections): -12.106 eV per cell
space-group type: No. 123
formation energy without anion corrections: 98 kJ/mol of formula units

---

Record 5
Density functional theory data (GGA-PBE) for a geometry-optimized BaTeI2O structure.

Unit cell a=6.384 b=6.384 c=4.214 alpha=90.00 beta=90.00 gamma=90.00
Fractional coordinates of all 5 atoms:
Ba  0.500  0.500  0.500
I  0.500  0.000  0.000
Te  0.000  0.000  0.000
O  0.000  0.000  0.500
I  0.000  0.500  0.000

Summary:
E above lowest polymorph: 0.000 eV/atom
total DFT energy (no corrections): -17.171 eV per cell
space-group type: No. 123
formation energy without anion corrections: -391 kJ/mol of formula units

---

Record 6
Density functional theory data (GGA-PBE) for a geometry-optimized BaTiIO6 structure.

Unit cell a=5.363 b=5.363 c=11.565 alpha=90.00 beta=90.00 gamma=120.00
Fractional coordinates of all 18 atoms:
O  0.601  0.603  0.652
O  0.601  0.999  0.848
O  0.397  0.399  0.848
Ba  0.000  0.000  0.500
O  0.999  0.397  0.152
Ti  0.333  0.667  0.750
O  0.603  0.001  0.348
Ti  0.667  0.333  0.250
I  0.333  0.667  0.250
O  0.603  0.601  0.152
Ba  0.000  0.000  0.000
O  0.397  0.999  0.652
O  0.001  0.603  0.848
I  0.667  0.333  0.750
O  0.999  0.601  0.348
O  0.399  0.001  0.152
O  0.399  0.397  0.348
O  0.001  0.399  0.652

Summary:
total DFT energy (no corrections): -115.570 eV per cell
space-group type: No. 163
formation energy without anion corrections: -1608 kJ/mol of formula units

---

Record 7
Density functional theory data (GGA-PBE) for a geometry-optimized BaTl2IO6 structure.

Unit cell a=6.073 b=6.073 c=13.183 alpha=76.68 beta=76.68 gamma=60.00
Fractional coordinates of all 20 atoms:
O  0.617  0.617  0.589
O  0.823  0.383  0.411
Ba  0.592  0.592  0.224
O  0.383  0.823  0.411
Tl  0.844  0.844  0.469
O  0.271  0.822  0.086
Tl  0.156  0.156  0.531
Ba  0.408  0.408  0.776
O  0.178  0.178  0.914
Tl  0.311  0.311  0.066
O  0.178  0.729  0.914
I  0.500  0.500  0.500
Tl  0.689  0.689  0.934
O  0.617  0.177  0.589
O  0.822  0.271  0.086
O  0.383  0.383  0.411
O  0.822  0.822  0.086
O  0.729  0.178  0.914
I  0.000  0.000  0.000
O  0.177  0.617  0.589

Summary:
total DFT energy (no corrections): -94.370 eV per cell
space-group type: No. 166
formation energy without anion corrections: -891 kJ/mol of formula units

---

Record 8
Density functional theory data (GGA-PBE) for a geometry-optimized Ba2TlI2O2 structure.

Unit cell a=4.699 b=4.699 c=9.976 alpha=103.62 beta=103.62 gamma=90.00
Fractional coordinates of all 7 atoms:
O  0.000  0.500  0.000
O  0.500  0.000  0.000
I  0.818  0.818  0.636
Ba  0.405  0.405  0.809
Ba  0.595  0.595  0.191
I  0.182  0.182  0.364
Tl  0.000  0.000  0.000

Summary:
total DFT energy (no corrections): -30.883 eV per cell
space-group type: No. 139
formation energy without anion corrections: -1124 kJ/mol of formula units